TmGa4Co2Ni: optimized geometry, GGA-PBE.

Cell: 8.7492 8.7492 8.7492 Å, 26.84 26.84 26.84°
Atoms (fractional coordinates):
Tm 0.0000 0.0000 0.0000
Ga 0.1308 0.1308 0.1308
Ga 0.4020 0.4020 0.4020
Ga 0.5980 0.5980 0.5980
Ga 0.8692 0.8692 0.8692
Co 0.2315 0.2315 0.2315
Co 0.7685 0.7685 0.7685
Ni 0.5000 0.5000 0.5000

**Formation enthalpy at 0 K**: -377.6 meV/atom
**Calculated density**: 8.6 g cm⁻³
**Fermi-level density of states**: 0.7238 states/eV/atom
**Calculated volume**: 15.0 Å³ per atom
**Final energy**: -4.949 eV per atom



InBi2Se: optimized geometry, GGA-PBE.

Cell: 5.3828 5.3828 5.3828 Å, 60.00 60.00 60.00°
Atoms (fractional coordinates):
In 0.0000 0.0000 0.0000
Bi 0.2500 0.2500 0.2500
Bi 0.7500 0.7500 0.7500
Se 0.5000 0.5000 0.5000

**Calculated density**: 9.2 g cm⁻³
**Fermi-level density of states**: 0.6530 states/eV/atom
**Calculated volume**: 27.6 Å³ per atom
**ΔE_f (raw)**: 93 meV per atom
**Final energy**: -3.403 eV per atom



PrGe2Se3: optimized geometry, GGA-PBE.

Cell: 8.5387 4.1180 11.7346 Å, 90.00 110.05 90.00°
Atoms (fractional coordinates):
Pr 0.2052 0.2500 0.1870
Pr 0.7948 0.7500 0.8130
Ge 0.2636 0.7500 0.4709
Ge 0.4721 0.7500 0.0534
Ge 0.5279 0.2500 0.9466
Ge 0.7364 0.2500 0.5291
Se 0.0655 0.2500 0.3759
Se 0.1674 0.7500 0.9891
Se 0.4368 0.7500 0.3283
Se 0.5632 0.2500 0.6717
Se 0.8326 0.2500 0.0109
Se 0.9345 0.7500 0.6241

**Calculated density**: 4.5 g cm⁻³
**Fermi-level density of states**: 0.3813 states/eV/atom
**Calculated volume**: 32.3 Å³ per atom
**ΔE_f (raw)**: -750 meV per atom
**Final energy**: -4.828 eV per atom



YMg2Ru4: optimized geometry, GGA-PBE.

Cell: 7.6032 7.6032 7.6032 Å, 143.36 143.36 52.78°
Atoms (fractional coordinates):
Y 0.0000 0.0000 0.0000
Mg 0.3844 0.3844 0.0000
Mg 0.6156 0.6156 0.0000
Ru 0.0000 0.5000 0.5000
Ru 0.1954 0.1954 0.0000
Ru 0.5000 0.0000 0.5000
Ru 0.8046 0.8046 0.0000

**Formation enthalpy at 0 K**: 1472.0 meV/atom
**Calculated density**: 5.8 g cm⁻³
**Fermi-level density of states**: 1.4799 states/eV/atom
**Calculated volume**: 22.2 Å³ per atom
**Final energy**: -5.207 eV per atom



La2NiBr: optimized geometry, GGA-PBE.

Cell: 5.2860 5.2860 3.5448 Å, 90.78 90.78 92.51°
Atoms (fractional coordinates):
La 0.0000 0.5000 0.0000
La 0.5000 0.0000 0.0000
Ni 0.0000 0.0000 0.5000
Br 0.5000 0.5000 0.5000

**Calculated density**: 7.0 g cm⁻³
**Fermi-level density of states**: 1.2840 states/eV/atom
**Calculated volume**: 24.7 Å³ per atom
**ΔE_f (raw)**: -556 meV per atom
**Final energy**: -4.883 eV per atom



KEuDyBiO6: optimized geometry, GGA-PBE.

Cell: 6.0863 6.0863 6.0863 Å, 60.00 60.00 60.00°
Atoms (fractional coordinates):
K 0.0000 0.0000 0.0000
Eu 0.5000 0.5000 0.5000
Dy 0.2500 0.2500 0.2500
Bi 0.7500 0.7500 0.7500
O 0.5058 0.5058 0.9942
O 0.5058 0.9942 0.5058
O 0.5058 0.9942 0.9942
O 0.9942 0.5058 0.5058
O 0.9942 0.5058 0.9942
O 0.9942 0.9942 0.5058

**Calculated density**: 6.9 g cm⁻³
**Fermi-level density of states**: 1.4049 states/eV/atom
**Calculated volume**: 15.9 Å³ per atom
**ΔE_f (raw)**: -1979 meV per atom
**Final energy**: -6.939 eV per atom



Pm3Y4Tm5: optimized geometry, GGA-PBE.

Cell: 6.1543 7.1148 8.7079 Å, 89.97 89.89 89.83°
Atoms (fractional coordinates):
Pm 0.0000 0.0000 0.0000
Pm 0.1679 0.2487 0.3323
Pm 0.8321 0.7513 0.6677
Y 0.1681 0.7500 0.3326
Y 0.3322 0.5004 0.6688
Y 0.6678 0.4996 0.3312
Y 0.8319 0.2500 0.6674
Tm 0.0000 0.5000 0.0000
Tm 0.3351 0.0000 0.6683
Tm 0.4999 0.2498 0.0004
Tm 0.5001 0.7502 0.9996
Tm 0.6649 0.0000 0.3317

**Formation enthalpy at 0 K**: 23.1 meV/atom
**Calculated density**: 7.1 g cm⁻³
**Fermi-level density of states**: 1.3574 states/eV/atom
**Calculated volume**: 31.8 Å³ per atom
**Final energy**: -5.182 eV per atom



La2PaSi3Ir4: optimized geometry, GGA-PBE.

Cell: 4.2445 4.2445 10.8355 Å, 90.00 90.00 90.00°
Atoms (fractional coordinates):
La 0.0000 0.5000 0.2312
La 0.5000 0.0000 0.7688
Pa 0.0000 0.0000 0.5000
Si 0.0000 0.5000 0.8821
Si 0.5000 0.0000 0.1179
Si 0.5000 0.5000 0.5000
Ir 0.0000 0.0000 0.0000
Ir 0.0000 0.5000 0.6552
Ir 0.5000 0.0000 0.3448
Ir 0.5000 0.5000 0.0000

**Calculated density**: 11.6 g cm⁻³
**Fermi-level density of states**: 0.6088 states/eV/atom
**Calculated volume**: 19.5 Å³ per atom
**ΔE_f (raw)**: -937 meV per atom
**Final energy**: -8.044 eV per atom



Cu2PPb: optimized geometry, GGA-PBE.

Cell: 3.2683 3.7132 6.0331 Å, 90.00 93.78 90.00°
Atoms (fractional coordinates):
Cu 0.0000 0.0000 0.0000
Cu 0.0283 0.5000 0.2919
P 0.4974 0.5000 0.0094
Pb 0.5375 0.0000 0.5651

**Formation enthalpy at 0 K**: 158.8 meV/atom
**Calculated density**: 8.3 g cm⁻³
**Fermi-level density of states**: 0.3399 states/eV/atom
**Calculated volume**: 18.3 Å³ per atom
**Final energy**: -4.169 eV per atom



K2HgMo2: optimized geometry, GGA-PBE.

Cell: 8.3826 8.3826 8.3826 Å, 150.47 150.47 42.26°
Atoms (fractional coordinates):
K 0.2500 0.7500 0.5000
K 0.7500 0.2500 0.5000
Hg 0.0000 0.0000 0.0000
Mo 0.4348 0.4348 0.0000
Mo 0.5652 0.5652 0.0000

**Formation enthalpy at 0 K**: 1366.7 meV/atom
**Calculated density**: 5.5 g cm⁻³
**Fermi-level density of states**: 1.1962 states/eV/atom
**Calculated volume**: 28.6 Å³ per atom
**Final energy**: -3.465 eV per atom



Dy8Ge3PSe4: optimized geometry, GGA-PBE.

Cell: 8.2451 8.2451 8.2451 Å, 59.73 59.73 59.73°
Atoms (fractional coordinates):
Dy 0.2461 0.2461 0.2461
Dy 0.2460 0.7440 0.7440
Dy 0.2560 0.2560 0.7540
Dy 0.2560 0.7540 0.2560
Dy 0.7440 0.2460 0.7440
Dy 0.7440 0.7440 0.2460
Dy 0.7540 0.2560 0.2560
Dy 0.7539 0.7539 0.7539
Ge 0.0000 0.0000 0.5000
Ge 0.0000 0.5000 0.0000
Ge 0.5000 0.0000 0.0000
P 0.5000 0.5000 0.5000
Se 0.0000 0.0000 0.0000
Se 0.0000 0.5000 0.5000
Se 0.5000 0.0000 0.5000
Se 0.5000 0.5000 0.0000

**Calculated density**: 7.9 g cm⁻³
**Fermi-level density of states**: 0.2203 states/eV/atom
**Calculated volume**: 24.6 Å³ per atom
**ΔE_f (raw)**: -1496 meV per atom
**Final energy**: -5.872 eV per atom



Pr2Nd3Zn2: optimized geometry, GGA-PBE.

Cell: 6.4323 6.4323 8.3199 Å, 113.85 113.85 43.40°
Atoms (fractional coordinates):
Pr 0.1425 0.1425 0.3049
Pr 0.8575 0.8575 0.6951
Nd 0.3672 0.3672 0.0313
Nd 0.5000 0.5000 0.5000
Nd 0.6328 0.6328 0.9687
Zn 0.1453 0.1453 0.6945
Zn 0.8547 0.8547 0.3055

**Formation enthalpy at 0 K**: -75.6 meV/atom
**Calculated density**: 6.6 g cm⁻³
**Fermi-level density of states**: 1.3476 states/eV/atom
**Calculated volume**: 30.4 Å³ per atom
**Final energy**: -3.848 eV per atom



Nd2MgP: optimized geometry, GGA-PBE.

Cell: 10.5334 10.5334 10.5334 Å, 21.34 21.34 21.34°
Atoms (fractional coordinates):
Nd 0.1129 0.1129 0.1129
Nd 0.8871 0.8871 0.8871
Mg 0.0000 0.0000 0.0000
P 0.5000 0.5000 0.5000

**Formation enthalpy at 0 K**: -476.2 meV/atom
**Calculated density**: 4.2 g cm⁻³
**Fermi-level density of states**: 1.2323 states/eV/atom
**Calculated volume**: 33.9 Å³ per atom
**Final energy**: -4.611 eV per atom



Y3Ag: optimized geometry, GGA-PBE.

Cell: 6.5384 6.5384 6.5384 Å, 146.75 131.41 60.16°
Atoms (fractional coordinates):
Y 0.0000 0.0000 0.0000
Y 0.2849 0.7849 0.5000
Y 0.7151 0.2151 0.5000
Ag 0.5000 0.5000 0.0000

**Formation enthalpy at 0 K**: -123.1 meV/atom
**Calculated density**: 5.5 g cm⁻³
**Fermi-level density of states**: 1.4590 states/eV/atom
**Calculated volume**: 28.5 Å³ per atom
**Final energy**: -5.684 eV per atom



KZnCl2: optimized geometry, GGA-PBE.

Cell: 8.6619 8.6619 8.6619 Å, 30.20 30.20 30.20°
Atoms (fractional coordinates):
K 0.0000 0.0000 0.0000
Zn 0.5000 0.5000 0.5000
Cl 0.4039 0.4039 0.4039
Cl 0.5961 0.5961 0.5961

**Calculated density**: 2.0 g cm⁻³
**Fermi-level density of states**: 0.4662 states/eV/atom
**Calculated volume**: 36.4 Å³ per atom
**ΔE_f (raw)**: -1005 meV per atom
**Final energy**: -2.521 eV per atom



La2NdRu: optimized geometry, GGA-PBE.

Cell: 10.7959 10.7959 10.7959 Å, 20.82 20.82 20.82°
Atoms (fractional coordinates):
La 0.1142 0.1142 0.1142
La 0.8858 0.8858 0.8858
Nd 0.0000 0.0000 0.0000
Ru 0.5000 0.5000 0.5000

**Formation enthalpy at 0 K**: 83.2 meV/atom
**Calculated density**: 6.2 g cm⁻³
**Fermi-level density of states**: 1.0648 states/eV/atom
**Calculated volume**: 34.8 Å³ per atom
**Final energy**: -5.891 eV per atom



Tb3CrB7: optimized geometry, GGA-PBE.

Cell: 8.1415 8.1415 9.3872 Å, 90.00 90.00 155.49°
Atoms (fractional coordinates):
Tb 0.1048 0.8952 0.5603
Tb 0.1048 0.8952 0.9397
Tb 0.2415 0.7585 0.2500
Tb 0.7585 0.2415 0.7500
Tb 0.8952 0.1048 0.0603
Tb 0.8952 0.1048 0.4397
Cr 0.0539 0.9461 0.2500
Cr 0.9461 0.0539 0.7500
B 0.2732 0.7268 0.5318
B 0.2732 0.7268 0.9682
B 0.3690 0.6310 0.6514
B 0.3690 0.6310 0.8486
B 0.4609 0.5391 0.2500
B 0.4781 0.5219 0.5970
B 0.4781 0.5219 0.9030
B 0.5219 0.4781 0.0970
B 0.5219 0.4781 0.4030
B 0.5391 0.4609 0.7500
B 0.6310 0.3690 0.1514
B 0.6310 0.3690 0.3486
B 0.7268 0.2732 0.0318
B 0.7268 0.2732 0.4682

**Formation enthalpy at 0 K**: -570.0 meV/atom
**Calculated density**: 7.8 g cm⁻³
**Fermi-level density of states**: 0.3769 states/eV/atom
**Calculated volume**: 11.7 Å³ per atom
**Final energy**: -6.957 eV per atom



ZnCuRe2: optimized geometry, GGA-PBE.

Cell: 4.5798 4.5798 2.6511 Å, 90.00 90.00 90.00°
Atoms (fractional coordinates):
Zn 0.0000 0.0000 0.0000
Cu 0.5000 0.5000 0.0000
Re 0.0000 0.5000 0.5000
Re 0.5000 0.0000 0.5000

**Formation enthalpy at 0 K**: 524.1 meV/atom
**Calculated density**: 15.0 g cm⁻³
**Fermi-level density of states**: 0.5590 states/eV/atom
**Calculated volume**: 13.9 Å³ per atom
**Final energy**: -7.043 eV per atom



DyEr2Rh: optimized geometry, GGA-PBE.

Cell: 6.2258 6.2258 9.3032 Å, 90.00 90.00 144.62°
Atoms (fractional coordinates):
Dy 0.0750 0.9250 0.7500
Dy 0.9250 0.0750 0.2500
Er 0.3612 0.6388 0.5670
Er 0.3612 0.6388 0.9330
Er 0.6388 0.3612 0.0670
Er 0.6388 0.3612 0.4330
Rh 0.2449 0.7551 0.2500
Rh 0.7551 0.2449 0.7500

**Formation enthalpy at 0 K**: -516.0 meV/atom
**Calculated density**: 9.5 g cm⁻³
**Fermi-level density of states**: 1.2524 states/eV/atom
**Calculated volume**: 26.1 Å³ per atom
**Final energy**: -5.786 eV per atom



SrYVB2: optimized geometry, GGA-PBE.

Cell: 4.3777 4.3777 4.6861 Å, 90.00 90.00 90.00°
Atoms (fractional coordinates):
Sr 0.0000 0.0000 0.0000
Y 0.5000 0.5000 0.0000
V 0.0000 0.0000 0.5000
B 0.0000 0.5000 0.5000
B 0.5000 0.0000 0.5000

**Formation enthalpy at 0 K**: 1092.8 meV/atom
**Calculated density**: 4.6 g cm⁻³
**Fermi-level density of states**: 0.9754 states/eV/atom
**Calculated volume**: 18.0 Å³ per atom
**Final energy**: -5.031 eV per atom



Ba2PuBeS5: optimized geometry, GGA-PBE.

Cell: 9.0486 9.0486 13.0385 Å, 90.00 90.00 153.92°
Atoms (fractional coordinates):
Ba 0.1177 0.8823 0.5000
Ba 0.1219 0.8781 0.1437
Ba 0.8781 0.1219 0.6437
Ba 0.8823 0.1177 0.0000
Pu 0.1921 0.8079 0.8323
Pu 0.8079 0.1921 0.3323
Be 0.4369 0.5631 0.2245
Be 0.5631 0.4369 0.7245
S 0.0435 0.9565 0.8074
S 0.3036 0.6964 0.4692
S 0.3163 0.6837 0.1920
S 0.3405 0.6595 0.8233
S 0.4967 0.5033 0.0908
S 0.5033 0.4967 0.5908
S 0.6595 0.3405 0.3233
S 0.6837 0.3163 0.6920
S 0.6964 0.3036 0.9692
S 0.9565 0.0435 0.3074

**Calculated density**: 4.9 g cm⁻³
**Fermi-level density of states**: 1.1550 states/eV/atom
**Calculated volume**: 26.1 Å³ per atom
**ΔE_f (raw)**: -1610 meV per atom
**Final energy**: -6.337 eV per atom



BeTe2P: optimized geometry, GGA-PBE.

Cell: 4.2436 3.4513 7.1065 Å, 90.00 107.29 90.00°
Atoms (fractional coordinates):
Be 0.0000 0.0000 0.0000
Te 0.1684 0.0000 0.7008
Te 0.3969 0.5000 0.2295
P 0.6699 0.5000 0.9579

**Calculated density**: 4.9 g cm⁻³
**Fermi-level density of states**: 0.2152 states/eV/atom
**Calculated volume**: 24.8 Å³ per atom
**ΔE_f (raw)**: 101 meV per atom
**Final energy**: -3.754 eV per atom



CsReSe2N: optimized geometry, GGA-PBE.

Cell: 5.6720 5.6720 5.3124 Å, 90.00 90.00 90.00°
Atoms (fractional coordinates):
Cs 0.0000 0.0000 0.0000
Re 0.0000 0.0000 0.5000
Se 0.0000 0.5000 0.0000
Se 0.5000 0.0000 0.0000
N 0.5000 0.5000 0.5000

**Calculated density**: 4.8 g cm⁻³
**Fermi-level density of states**: 3.8339 states/eV/atom
**Calculated volume**: 34.2 Å³ per atom
**ΔE_f (raw)**: 3863 meV per atom
**Final energy**: -1.857 eV per atom



Cs2IrPbCl6: optimized geometry, GGA-PBE.

Cell: 7.5445 7.5445 7.5445 Å, 120.11 120.11 89.80°
Atoms (fractional coordinates):
Cs 0.2500 0.7500 0.5000
Cs 0.7500 0.2500 0.5000
Ir 0.0000 0.0000 0.0000
Pb 0.5000 0.5000 0.0000
Cl 0.2290 0.2290 0.0000
Cl 0.2285 0.2285 0.4570
Cl 0.2285 0.7715 0.0000
Cl 0.7715 0.2285 0.0000
Cl 0.7710 0.7710 0.0000
Cl 0.7715 0.7715 0.5430

**Calculated density**: 4.8 g cm⁻³
**Fermi-level density of states**: 0.5331 states/eV/atom
**Calculated volume**: 30.3 Å³ per atom
**ΔE_f (raw)**: -1139 meV per atom
**Final energy**: -3.674 eV per atom